# 1
# LiMgCd3 (PBE, optimized geometry)
# E (eV/atom): -1.394
# Polymorph energy (0 for the lowest one) (eV/atom): 0.0000
# ρ (g cm⁻³): 5.90
# Energy of formation from the pure elements (eV per formula unit): -0.7
# Crystal system: monoclinic
# Size of the total moment (μB per formula unit): 0.000
data_LiMgCd3
_chemical_formula_sum 'Li4 Mg4 Cd12'
_space_group_name_H-M_alt 'C 1 2/m 1'
_space_group_IT_number 12
_cell_length_a 16.212
_cell_length_b 4.916
_cell_length_c 5.207
_cell_angle_alpha 90.00
_cell_angle_beta 90.82
_cell_angle_gamma 90.00
loop_
_space_group_symop_operation_xyz
'x,y,z'
'-x,-y,-z'
'-x,y,-z'
'x,-y,z'
'x+1/2,y+1/2,z'
'-x+1/2,-y+1/2,-z'
'-x+1/2,y+1/2,-z'
'x+1/2,-y+1/2,z'
loop_
_atom_site_label
_atom_site_type_symbol
_atom_site_fract_x
_atom_site_fract_y
_atom_site_fract_z
Li1 Li 0.248 0.000 0.190
Mg1 Mg 0.057 0.500 0.772
Cd1 Cd 0.055 0.000 0.222
Cd2 Cd 0.156 0.500 0.297
Cd3 Cd 0.160 0.000 0.700

# 2
# MgVTcSn2 (PBE, optimized geometry)
# E (eV/atom): -4.837
# ρ (g cm⁻³): 5.37
# Energy of formation from the pure elements (eV per formula unit): 4.9
# Crystal system: tetragonal
# Size of the total moment (μB per formula unit): 0.593
data_MgVTcSn2
_chemical_formula_sum 'Mg1 V1 Tc1 Sn2'
_space_group_name_H-M_alt 'P 4/m m m'
_space_group_IT_number 123
_space_group_name_Hall '-P 4 2'
_cell_length_a 5.094
_cell_length_b 5.094
_cell_length_c 4.897
_cell_angle_alpha 90.00
_cell_angle_beta 90.00
_cell_angle_gamma 90.00
loop_
_atom_site_label
_atom_site_type_symbol
_atom_site_fract_x
_atom_site_fract_y
_atom_site_fract_z
Mg1 Mg 0.000 0.000 0.000
V1 V 0.500 0.500 0.000
Tc1 Tc 0.000 0.000 0.500
Sn1 Sn 0.000 0.500 0.500

# 3
# YPbAu2 (PBE, optimized geometry)
# E (eV/atom): -4.581
# ρ (g cm⁻³): 12.02
# Energy of formation from the pure elements (eV per formula unit): -1.6
# Crystal system: tetragonal
# Size of the total moment (μB per formula unit): 0.000
data_YPbAu2
_chemical_formula_sum 'Y1 Pb1 Au2'
_space_group_name_H-M_alt 'P 4 m m'
_space_group_IT_number 99
_cell_length_a 3.699
_cell_length_b 3.699
_cell_length_c 6.965
_cell_angle_alpha 90.00
_cell_angle_beta 90.00
_cell_angle_gamma 90.00
loop_
_space_group_symop_operation_xyz
'x,y,z'
'-y,x,z'
'-x,-y,z'
'y,-x,z'
'-x,y,z'
'y,x,z'
'x,-y,z'
'-y,-x,z'
loop_
_atom_site_label
_atom_site_type_symbol
_atom_site_fract_x
_atom_site_fract_y
_atom_site_fract_z
Y1 Y 0.000 0.000 0.000
Pb1 Pb 0.500 0.500 0.667
Au1 Au 0.000 0.000 0.430
Au2 Au 0.500 0.500 0.206

# 4
# ZnRhCl (PBE, optimized geometry)
# E (eV/atom): -3.278
# Polymorph energy (0 for the lowest one) (eV/atom): 0.2621
# ρ (g cm⁻³): 6.20
# Crystal system: cubic
# ΔE_f (raw) (eV per atom): 0.2127
# Size of the total moment (μB per formula unit): 0.000
data_ZnRhCl
_chemical_formula_sum 'Zn4 Rh4 Cl4'
_space_group_name_H-M_alt 'F -4 3 m'
_space_group_IT_number 216
_space_group_name_Hall 'F -4 2 3'
_cell_length_a 6.022
_cell_length_b 6.022
_cell_length_c 6.022
_cell_angle_alpha 90.00
_cell_angle_beta 90.00
_cell_angle_gamma 90.00
loop_
_atom_site_label
_atom_site_type_symbol
_atom_site_fract_x
_atom_site_fract_y
_atom_site_fract_z
Zn1 Zn 0.000 0.000 0.000
Rh1 Rh 0.250 0.250 0.750
Cl1 Cl 0.000 0.000 0.500

Please write out number 4 again, unchanged.
# ZnRhCl (PBE, optimized geometry)
# E (eV/atom): -3.278
# Polymorph energy (0 for the lowest one) (eV/atom): 0.2621
# ρ (g cm⁻³): 6.20
# Crystal system: cubic
# ΔE_f (raw) (eV per atom): 0.2127
# Size of the total moment (μB per formula unit): 0.000
data_ZnRhCl
_chemical_formula_sum 'Zn4 Rh4 Cl4'
_space_group_name_H-M_alt 'F -4 3 m'
_space_group_IT_number 216
_space_group_name_Hall 'F -4 2 3'
_cell_length_a 6.022
_cell_length_b 6.022
_cell_length_c 6.022
_cell_angle_alpha 90.00
_cell_angle_beta 90.00
_cell_angle_gamma 90.00
loop_
_atom_site_label
_atom_site_type_symbol
_atom_site_fract_x
_atom_site_fract_y
_atom_site_fract_z
Zn1 Zn 0.000 0.000 0.000
Rh1 Rh 0.250 0.250 0.750
Cl1 Cl 0.000 0.000 0.500

Q: What is the E in the third record?
A: -4.581 eV/atom